1.
BeZnCd2, optimized geometry, DFT GGA-PBE; formation enthalpy at 0 K = 0.4227 eV/atom; SG = F-43m (216); offset from the most stable computed form = 0.84 eV per formula unit
1.0
-3.402 0.397 3.095
-0.190 -2.879 3.604
0.914 1.557 4.249
Cd Zn Be
2 1 1
Cartesian
0.000 0.000 0.000 Cd
-0.670 -0.231 2.737 Cd
-2.009 -0.693 8.210 Zn
-1.339 -0.462 5.473 Be

=====

2.
Be2ZnCd, optimized geometry, DFT GGA-PBE; formation enthalpy at 0 K = 0.4222 eV/atom; SG = I-4m2 (119); offset from the most stable computed form = 0.49 eV per formula unit
1.0
-1.860 -4.197 0.795
2.813 -2.575 2.676
-1.674 4.327 0.428
Be Zn Cd
2 1 1
Cartesian
0.808 -0.817 2.420 Be
0.000 0.000 0.000 Be
-1.529 -1.628 1.479 Zn
0.476 -3.386 1.736 Cd